MoPd3Pt6: optimized geometry, PBE.

For the total energy, the calculation gives -6.371 eV per atom. As for the symmetry: No. 11. The formation energy from the elements comes out at -0.105 eV per atom.

Unit cell a=4.6352 b=7.3574 c=10.0508 alpha=114.91 beta=90.00 gamma=90.00
Fractional positions:
Pt 0.7500 0.7372 0.5281
Pd 0.2500 0.3587 0.7660
Mo 0.7500 0.0378 0.4287
Pd 0.2500 0.7648 0.9680
Pd 0.7500 0.6413 0.2340
Pd 0.7500 0.2352 0.0320
Pt 0.2500 0.0609 0.8653
Mo 0.2500 0.9622 0.5713
Pt 0.2500 0.2628 0.4719
Pt 0.7500 0.9391 0.1347
Pt 0.7500 0.5355 0.9339
Pd 0.7500 0.4281 0.6323
Pt 0.2500 0.6682 0.6653
Pt 0.2500 0.8718 0.2725
Pt 0.2500 0.4645 0.0661
Pd 0.2500 0.5719 0.3677
Pt 0.7500 0.3318 0.3347
Pt 0.2500 0.1719 0.1710
Pt 0.7500 0.1282 0.7276
Pt 0.7500 0.8281 0.8290



In2FeAs: optimized geometry, PBE.

For the total energy, the calculation gives -4.232 eV per atom. As for the symmetry: No. 12. The formation energy from the elements comes out at 0.416 eV per atom.

Unit cell a=5.2487 b=5.2487 c=5.5950 alpha=75.96 beta=75.96 gamma=33.25
Site moments in Bohr magnetons follow the coordinates.
Fractional positions:
Fe 0.7500 0.7500 0.7500  2.73
In 0.0175 0.0175 0.9843  -0.02
In 0.4825 0.4825 0.5157  -0.02
As 0.2500 0.2500 0.2500  0.01



LaIn2Pd2: optimized geometry, PBE.

For the total energy, the calculation gives -4.670 eV per atom. As for the symmetry: No. 127. The formation energy from the elements comes out at -0.512 eV per atom.

Unit cell a=8.1356 b=8.1356 c=3.2709 alpha=90.00 beta=90.00 gamma=90.00
Fractional positions:
In 0.6546 0.8454 0.5000
In 0.8454 0.3454 0.5000
Pd 0.6354 0.1354 0.0000
La 0.5000 0.5000 0.0000
Pd 0.8646 0.6354 0.0000
In 0.3454 0.1546 0.5000
Pd 0.3646 0.8646 0.0000
In 0.1546 0.6546 0.5000
La 0.0000 0.0000 0.0000
Pd 0.1354 0.3646 0.0000



VCrCuBr: optimized geometry, PBE.

For the total energy, the calculation gives -5.580 eV per atom. As for the symmetry: No. 1. For the uncorrected formation energy, the calculation gives 0.5478 eV per atom.

Unit cell a=2.9952 b=4.3262 c=6.5903 alpha=88.85 beta=77.16 gamma=72.96
Site moments in Bohr magnetons follow the coordinates.
Fractional positions:
Br 0.1573 0.6994 0.8773  0.00
Cr 0.1032 0.3988 0.1961  0.73
Cu 0.3893 0.6207 0.4794  0.02
V 0.8886 0.0044 0.2304  -0.45



YCSe2Br: optimized geometry, PBE.

For the total energy, the calculation gives -3.967 eV per atom. As for the symmetry: No. 123. For the uncorrected formation energy, the calculation gives 0.8987 eV per atom.

Unit cell a=5.5395 b=5.5395 c=5.4759 alpha=90.00 beta=90.00 gamma=90.00
Site moments in Bohr magnetons follow the coordinates.
Fractional positions:
Y 0.0000 0.0000 0.0000  0.01
Br 0.0000 0.0000 0.5000  -0.02
Se 0.0000 0.5000 0.0000  -0.07
C 0.5000 0.5000 0.5000  0.29
Se 0.5000 0.0000 0.0000  -0.07



LiCaTl5: optimized geometry, PBE.

For the total energy, the calculation gives -2.384 eV per atom. As for the symmetry: No. 123. The formation energy from the elements comes out at -0.135 eV per atom.

Unit cell a=4.7644 b=4.7644 c=8.5992 alpha=90.00 beta=90.00 gamma=90.00
Fractional positions:
Ca 0.0000 0.0000 0.5000
Tl 0.0000 0.5000 0.8051
Tl 0.5000 0.0000 0.1949
Tl 0.5000 0.0000 0.8051
Tl 0.5000 0.5000 0.5000
Tl 0.0000 0.5000 0.1949
Li 0.5000 0.5000 0.0000



CsCaLa2Al: optimized geometry, PBE.

For the total energy, the calculation gives -2.220 eV per atom. As for the symmetry: No. 123. The formation energy from the elements comes out at 1.070 eV per atom.

Unit cell a=5.8571 b=5.7040 c=5.8571 alpha=90.00 beta=90.00 gamma=90.00
Fractional positions:
Cs 0.0000 0.0000 0.0000
Ca 0.0000 0.5000 0.0000
La 0.0000 0.0000 0.5000
Al 0.5000 0.5000 0.5000
La 0.5000 0.0000 0.0000



YSc2Pt9: optimized geometry, PBE.

For the total energy, the calculation gives -7.163 eV per atom. As for the symmetry: No. 123. The formation energy from the elements comes out at -1.038 eV per atom.

Unit cell a=4.0493 b=4.0493 c=12.1368 alpha=90.00 beta=90.00 gamma=90.00
Fractional positions:
Sc 0.0000 0.0000 0.3359
Pt 0.0000 0.5000 0.1749
Sc 0.0000 0.0000 0.6641
Pt 0.5000 0.5000 0.6628
Pt 0.5000 0.5000 0.0000
Pt 0.5000 0.0000 0.5000
Pt 0.0000 0.5000 0.8251
Pt 0.5000 0.0000 0.1749
Pt 0.0000 0.5000 0.5000
Pt 0.5000 0.5000 0.3372
Pt 0.5000 0.0000 0.8251
Y 0.0000 0.0000 0.0000



CsMg2VGe: optimized geometry, PBE.

For the total energy, the calculation gives -1.631 eV per atom. As for the symmetry: No. 123. The formation energy from the elements comes out at 1.925 eV per atom.

Unit cell a=6.0130 b=5.3485 c=6.0130 alpha=90.00 beta=90.00 gamma=90.00
Site moments in Bohr magnetons follow the coordinates.
Fractional positions:
Mg 0.5000 0.0000 0.0000  0.00
Ge 0.5000 0.5000 0.5000  -0.18
V 0.0000 0.5000 0.0000  3.27
Cs 0.0000 0.0000 0.0000  0.15
Mg 0.0000 0.0000 0.5000  0.00



LiHRu2Cl: optimized geometry, PBE.

For the total energy, the calculation gives -3.929 eV per atom. As for the symmetry: No. 123.

Unit cell a=4.3672 b=4.3511 c=4.3672 alpha=90.00 beta=90.00 gamma=90.00
Site moments in Bohr magnetons follow the coordinates.
Fractional positions:
Cl 0.0000 0.0000 0.0000  0.05
H 0.5000 0.5000 0.5000  -0.01
Li 0.0000 0.5000 0.0000  -0.01
Ru 0.0000 0.0000 0.5000  0.68
Ru 0.5000 0.0000 0.0000  1.01



Bi2Ru2Au: optimized geometry, PBE.

For the total energy, the calculation gives -5.575 eV per atom. As for the symmetry: No. 127. The formation energy from the elements comes out at 0.343 eV per atom.

Unit cell a=7.6444 b=7.6444 c=3.3996 alpha=90.00 beta=90.00 gamma=90.00
Fractional positions:
Bi 0.6585 0.8415 0.5000
Ru 0.3597 0.8597 0.0000
Ru 0.6403 0.1403 0.0000
Bi 0.1585 0.6585 0.5000
Ru 0.1403 0.3597 0.0000
Bi 0.3415 0.1585 0.5000
Au 0.0000 0.0000 0.0000
Bi 0.8415 0.3415 0.5000
Au 0.5000 0.5000 0.0000
Ru 0.8597 0.6403 0.0000



BaCu2Ru: optimized geometry, PBE.

For the total energy, the calculation gives -4.070 eV per atom. As for the symmetry: No. 225. The formation energy from the elements comes out at 0.778 eV per atom.

Unit cell a=4.8287 b=4.8287 c=4.8287 alpha=60.00 beta=60.00 gamma=60.00
Fractional positions:
Cu 0.2500 0.2500 0.2500
Ru 0.0000 0.0000 0.0000
Cu 0.7500 0.7500 0.7500
Ba 0.5000 0.5000 0.5000



MnNiOsW: optimized geometry, PBE.

For the total energy, the calculation gives -9.661 eV per atom. As for the symmetry: No. 216. The formation energy from the elements comes out at 0.122 eV per atom.

Unit cell a=4.2619 b=4.2619 c=4.2619 alpha=60.00 beta=60.00 gamma=60.00
Site moments in Bohr magnetons follow the coordinates.
Fractional positions:
Os 0.7500 0.7500 0.7500  0.14
Mn 0.2500 0.2500 0.2500  2.65
Ni 0.0000 0.0000 0.0000  0.41
W 0.5000 0.5000 0.5000  -0.29



PmYNbN3: optimized geometry, PBE.

For the total energy, the calculation gives -9.072 eV per atom. As for the symmetry: No. 11. For the uncorrected formation energy, the calculation gives -1.3618 eV per atom.

Unit cell a=3.4072 b=5.8446 c=8.6802 alpha=102.77 beta=90.00 gamma=90.00
Fractional positions:
N 0.2500 0.7607 0.4811
N 0.7500 0.2393 0.5189
Pm 0.2500 0.3498 0.3123
Y 0.2500 0.7683 0.0468
Y 0.7500 0.2317 0.9532
Nb 0.2500 0.1337 0.6356
Pm 0.7500 0.6502 0.6877
N 0.2500 0.9558 0.8275
N 0.7500 0.5640 0.1783
N 0.2500 0.4360 0.8217
Nb 0.7500 0.8663 0.3644
N 0.7500 0.0442 0.1725



Nb2CdNiRu: optimized geometry, PBE.

For the total energy, the calculation gives -4.909 eV per atom. As for the symmetry: No. 123. The formation energy from the elements comes out at 2.313 eV per atom.

Unit cell a=4.9307 b=4.7621 c=4.9307 alpha=90.00 beta=90.00 gamma=90.00
Fractional positions:
Nb 0.0000 0.0000 0.5000
Nb 0.5000 0.0000 0.0000
Cd 0.0000 0.0000 0.0000
Ru 0.0000 0.5000 0.0000
Ni 0.5000 0.5000 0.5000



NaY2Cl: optimized geometry, PBE.

For the total energy, the calculation gives -4.306 eV per atom. As for the symmetry: No. 122. For the uncorrected formation energy, the calculation gives -0.2827 eV per atom.

Unit cell a=8.8450 b=8.8450 c=7.0106 alpha=50.89 beta=50.89 gamma=90.00
Site moments in Bohr magnetons follow the coordinates.
Fractional positions:
Na 0.5000 0.5000 0.0000  0.00
Na 0.2500 0.7500 0.5000  0.00
Y 0.3750 0.2789 0.7500  0.28
Y 0.8750 0.9711 0.7500  0.29
Cl 0.0000 0.0000 0.0000  0.01
Cl 0.7500 0.2500 0.5000  0.01
Y 0.0289 0.6250 0.2500  0.30
Y 0.7211 0.1250 0.2500  0.29



Ta3AlTl: optimized geometry, PBE.

For the total energy, the calculation gives -6.026 eV per atom. As for the symmetry: No. 221. The formation energy from the elements comes out at 2.307 eV per atom.

Unit cell a=5.0479 b=5.0479 c=5.0479 alpha=90.00 beta=90.00 gamma=90.00
Fractional positions:
Ta 0.0000 0.0000 0.5000
Tl 0.0000 0.0000 0.0000
Ta 0.0000 0.5000 0.0000
Al 0.5000 0.5000 0.5000
Ta 0.5000 0.0000 0.0000



TbYMg6: optimized geometry, PBE.

For the total energy, the calculation gives -2.664 eV per atom. As for the symmetry: No. 38. The formation energy from the elements comes out at -0.081 eV per atom.

Unit cell a=5.1783 b=6.6977 c=6.6977 alpha=119.94 beta=90.00 gamma=90.00
Fractional positions:
Y 0.0000 0.0838 0.9162
Mg 0.0000 0.0757 0.4122
Mg 0.5000 0.9120 0.5755
Mg 0.5000 0.4245 0.0880
Mg 0.0000 0.5869 0.4131
Mg 0.0000 0.5878 0.9243
Tb 0.5000 0.4162 0.5838
Mg 0.5000 0.9129 0.0871



LaMnOs2: optimized geometry, PBE.

For the total energy, the calculation gives -8.528 eV per atom. As for the symmetry: No. 225. The formation energy from the elements comes out at 0.611 eV per atom.

Unit cell a=4.6616 b=4.6616 c=4.6616 alpha=60.00 beta=60.00 gamma=60.00
Site moments in Bohr magnetons follow the coordinates.
Fractional positions:
La 0.5000 0.5000 0.5000  0.03
Mn 0.0000 0.0000 0.0000  3.56
Os 0.7500 0.7500 0.7500  0.01
Os 0.2500 0.2500 0.2500  0.01



Ta2BPbBr: optimized geometry, PBE.

For the total energy, the calculation gives -4.699 eV per atom. As for the symmetry: No. 123. For the uncorrected formation energy, the calculation gives 2.4542 eV per atom.

Unit cell a=5.3591 b=4.1879 c=5.3591 alpha=90.00 beta=90.00 gamma=90.00
Fractional positions:
Br 0.5000 0.5000 0.5000
Pb 0.0000 0.0000 0.0000
B 0.0000 0.5000 0.0000
Ta 0.5000 0.0000 0.0000
Ta 0.0000 0.0000 0.5000



Tb2DyNpSb4: optimized geometry, PBE.

For the total energy, the calculation gives -6.310 eV per atom. As for the symmetry: No. 10. For the uncorrected formation energy, the calculation gives -0.8981 eV per atom.

Unit cell a=4.3931 b=7.6151 c=7.6189 alpha=109.30 beta=90.00 gamma=90.00
Site moments in Bohr magnetons follow the coordinates.
Fractional positions:
Sb 0.5000 0.2504 0.2496  -0.05
Sb 0.0000 0.7499 0.2485  -0.03
Tb 0.0000 0.5000 0.5000  -0.02
Sb 0.0000 0.2501 0.7515  -0.03
Sb 0.5000 0.7496 0.7504  -0.05
Tb 0.5000 0.0000 0.5000  0.01
Dy 0.5000 0.5000 0.0000  0.01
Np 0.0000 0.0000 0.0000  3.86



ZrNb2Ga: optimized geometry, PBE.

For the total energy, the calculation gives -8.226 eV per atom. As for the symmetry: No. 63. The formation energy from the elements comes out at -0.298 eV per atom.

Unit cell a=3.5569 b=4.2220 c=10.3575 alpha=101.75 beta=90.00 gamma=90.00
Fractional positions:
Nb 0.7500 0.0580 0.1162
Nb 0.7500 0.4376 0.8756
Ga 0.7500 0.8372 0.6741
Zr 0.2500 0.3032 0.6065
Zr 0.7500 0.6968 0.3935
Nb 0.2500 0.9420 0.8838
Nb 0.2500 0.5624 0.1244
Ga 0.2500 0.1628 0.3259



LaCo2: optimized geometry, PBE.

For the total energy, the calculation gives -6.129 eV per atom. As for the symmetry: No. 123. The formation energy from the elements comes out at 0.251 eV per atom.

Unit cell a=3.4704 b=3.4704 c=4.7134 alpha=90.00 beta=90.00 gamma=90.00
Site moments in Bohr magnetons follow the coordinates.
Fractional positions:
Co 0.5000 0.0000 0.5000  1.25
La 0.0000 0.0000 0.0000  -0.18
Co 0.0000 0.5000 0.5000  1.25



NaPdRh2N: optimized geometry, PBE.

For the total energy, the calculation gives -5.746 eV per atom. As for the symmetry: No. 123. For the uncorrected formation energy, the calculation gives 0.1616 eV per atom.

Unit cell a=3.9537 b=3.9537 c=4.6138 alpha=90.00 beta=90.00 gamma=90.00
Fractional positions:
Rh 0.5000 0.0000 0.0000
N 0.0000 0.0000 0.0000
Na 0.0000 0.0000 0.5000
Pd 0.5000 0.5000 0.5000
Rh 0.0000 0.5000 0.0000



SbTe2HRh: optimized geometry, PBE.

For the total energy, the calculation gives -3.627 eV per atom. As for the symmetry: No. 123.

Unit cell a=5.0250 b=5.0250 c=3.9164 alpha=90.00 beta=90.00 gamma=90.00
Fractional positions:
Sb 0.0000 0.0000 0.5000
Rh 0.5000 0.5000 0.5000
H 0.0000 0.0000 0.0000
Te 0.0000 0.5000 0.0000
Te 0.5000 0.0000 0.0000



DyZn6: optimized geometry, PBE.

For the total energy, the calculation gives -1.872 eV per atom. As for the symmetry: No. 125. The formation energy from the elements comes out at -0.122 eV per atom.

Unit cell a=5.5213 b=5.5213 c=8.1140 alpha=90.00 beta=90.00 gamma=90.00
Fractional positions:
Zn 0.1738 0.6738 0.6391
Zn 0.0000 0.0000 0.8405
Zn 0.8262 0.3262 0.6391
Zn 0.3262 0.1738 0.6391
Zn 0.3262 0.8262 0.3609
Zn 0.5000 0.5000 0.8405
Dy 0.5000 0.0000 0.0000
Zn 0.6738 0.1738 0.3609
Zn 0.1738 0.3262 0.3609
Zn 0.0000 0.0000 0.1595
Zn 0.5000 0.5000 0.1595
Dy 0.0000 0.5000 0.0000
Zn 0.8262 0.6738 0.3609
Zn 0.6738 0.8262 0.6391